Below is a relaxed structure of TbEuY2, with properties calculated at the PBE level.

```
TbEuY2
1.0
5.123 0.000 0.000
0.000 5.123 0.000
0.000 0.000 5.117
Tb Eu Y
1 1 2
direct
0.000 0.000 0.000
0.500 0.500 0.000
0.000 0.500 0.500
0.500 0.000 0.500
```

Computed properties:
Relative energy among the computed polymorphs: 0.034 eV/atom
E_form: 0.09 eV per atom
Space group: P4/mmm (123)
Size of the total moment: 7.16 μB/f.u.